First-principles (PBE) data for a relaxed Tb4NpP5 crystal, as listed in Alexandria via LeMat-Bulk. Values from VASP.

Computed properties:
The calculation puts the formation enthalpy at 0 K at -1.46 eV/atom. The value obtained for the energy is -7.312 eV per atom. As for the density of states at the Fermi level: 9.9 states/eV per cell.

The structure in Quantum ESPRESSO input format:
```
&SYSTEM
  ibrav = 0, nat = 10, ntyp = 3
/
ATOMIC_SPECIES
Tb 158.93 Tb.upf
Np 237.00 Np.upf
P 30.97 P.upf
CELL_PARAMETERS angstrom
-1.707 1.675 3.218
-4.546 -3.306 -0.691
7.321 -6.176 4.601
ATOMIC_POSITIONS crystal
Tb 0.399 0.399 0.798
Tb 0.799 0.799 0.598
Tb 0.201 0.201 0.402
Tb 0.601 0.601 0.202
Np 0.000 0.000 0.000
P 0.597 0.097 0.194
P 0.799 0.299 0.599
P 0.201 0.701 0.401
P 0.000 0.500 0.000
P 0.403 0.903 0.806
```